DFT (GGA+U) results for an optimized crystal structure of SrNi2F6.

The calculation puts the density of states at the Fermi level at 0.000 states/eV/atom. The value obtained for the total magnetic moment is 0.438 μB/atom. The value obtained for the electronic total energy is -0.17580 hartree per atom.

a b c (Å): 5.3142 5.3142 5.2411
angles (deg): 90.00 90.00 120.00
Closest atoms and distances in Å follow each position.
Element x y z (fractional)
Sr  0.0000  0.0000  0.0000  6 F 2.45
Ni  0.3333  0.6667  0.5000  6 F 2.03
Ni  0.6667  0.3333  0.5000  6 F 2.03
F  0.0000  0.3641  0.7130  2 Ni 2.03
F  0.0000  0.6359  0.2870  2 Ni 2.03
F  0.3641  0.0000  0.7130  2 Ni 2.03
F  0.3641  0.3641  0.2870  2 Ni 2.03
F  0.6359  0.0000  0.2870  2 Ni 2.03
F  0.6359  0.6359  0.7130  2 Ni 2.03